Arrangement i

A relaxed structure of PmIn6Hg12, computed with GGA-PBE.

```
data_PmIn6Hg12
_symmetry_space_group_name_H-M 'P 1'
_symmetry_Int_Tables_number 1
_symmetry_space_group_name_Hall 'P 1'
_cell_length_a 8.013
_cell_length_b 8.013
_cell_length_c 8.013
_cell_angle_alpha 91.82
_cell_angle_beta 91.82
_cell_angle_gamma 91.82
loop_
_atom_site_label
_atom_site_type_symbol
_atom_site_fract_x
_atom_site_fract_y
_atom_site_fract_z
Pm1 Pm 0.000 0.000 0.000
In1 In 0.145 0.714 0.258
In2 In 0.258 0.145 0.714
In3 In 0.286 0.742 0.855
In4 In 0.714 0.258 0.145
In5 In 0.742 0.855 0.286
In6 In 0.855 0.286 0.742
Hg1 Hg 0.046 0.156 0.377
Hg2 Hg 0.156 0.377 0.046
Hg3 Hg 0.192 0.485 0.554
Hg4 Hg 0.377 0.046 0.156
Hg5 Hg 0.446 0.808 0.515
Hg6 Hg 0.485 0.554 0.192
Hg7 Hg 0.515 0.446 0.808
Hg8 Hg 0.554 0.192 0.485
Hg9 Hg 0.623 0.954 0.844
Hg10 Hg 0.808 0.515 0.446
Hg11 Hg 0.844 0.623 0.954
Hg12 Hg 0.954 0.844 0.623
```

Arrangement ii

A relaxed structure of PmIn6Hg12, computed with GGA-PBE.

```
data_PmIn6Hg12
_symmetry_space_group_name_H-M 'P 1'
_symmetry_Int_Tables_number 1
_symmetry_space_group_name_Hall 'P 1'
_cell_length_a 8.733
_cell_length_b 8.733
_cell_length_c 8.733
_cell_angle_alpha 110.32
_cell_angle_beta 110.32
_cell_angle_gamma 110.32
loop_
_atom_site_label
_atom_site_type_symbol
_atom_site_fract_x
_atom_site_fract_y
_atom_site_fract_z
Pm1 Pm 0.000 0.000 0.000
In1 In 0.079 0.382 0.591
In2 In 0.382 0.591 0.079
In3 In 0.409 0.921 0.618
In4 In 0.591 0.079 0.382
In5 In 0.618 0.409 0.921
In6 In 0.921 0.618 0.409
Hg1 Hg 0.098 0.735 0.164
Hg2 Hg 0.164 0.098 0.735
Hg3 Hg 0.200 0.465 0.308
Hg4 Hg 0.265 0.836 0.902
Hg5 Hg 0.308 0.200 0.465
Hg6 Hg 0.465 0.308 0.200
Hg7 Hg 0.535 0.692 0.800
Hg8 Hg 0.692 0.800 0.535
Hg9 Hg 0.735 0.164 0.098
Hg10 Hg 0.800 0.535 0.692
Hg11 Hg 0.836 0.902 0.265
Hg12 Hg 0.902 0.265 0.836
```

Verdict on stability: arrangement ii comes out on top.